DFT (PBE) results for a relaxed CaZnSb2 crystal.

As for the space group: Cmmm, No. 65. For the uncorrected formation energy, the calculation gives -0.29 eV per atom.

Unit cell a=5.381 b=5.381 c=3.611 alpha=89.97 beta=89.97 gamma=102.83
Fractional coordinates of all 4 atoms:
1 Zn 0.500 0.000 0.500
2 Sb 0.000 0.000 0.000
3 Sb 0.500 0.500 0.000
4 Ca 0.000 0.500 0.500

DFT (PBE) results for a relaxed CaZn2Sb crystal.

As for the space group: P4/mmm, No. 123. For the uncorrected formation energy, the calculation gives -0.18 eV per atom.

Unit cell a=3.853 b=3.853 c=6.272 alpha=90.00 beta=90.00 gamma=90.01
Fractional coordinates of all 4 atoms:
1 Sb 0.500 0.500 0.750
2 Zn 0.000 0.000 0.536
3 Zn 0.000 0.000 0.964
4 Ca 0.500 0.500 0.250

DFT (PBE) results for a relaxed Ca2Zn2Sb3 crystal.

As for the space group: C2/m, No. 12. For the uncorrected formation energy, the calculation gives -0.59 eV per atom.

Unit cell a=4.533 b=8.648 c=10.254 alpha=81.09 beta=77.23 gamma=74.81
Fractional coordinates of all 14 atoms:
1 Ca 0.739 0.861 0.662
2 Ca 0.405 0.250 0.940
3 Ca 0.595 0.750 0.060
4 Ca 0.261 0.139 0.338
5 Sb 0.093 0.947 0.868
6 Sb 0.384 0.770 0.462
7 Sb 0.838 0.506 0.818
8 Sb 0.907 0.053 0.132
9 Sb 0.616 0.230 0.538
10 Sb 0.162 0.494 0.182
11 Zn 0.957 0.777 0.309
12 Zn 0.594 0.475 0.337
13 Zn 0.406 0.525 0.663
14 Zn 0.043 0.223 0.691

DFT (PBE) results for a relaxed CaZnSb2 crystal.

As for the space group: P4/mmm, No. 123. For the uncorrected formation energy, the calculation gives -0.20 eV per atom.

Unit cell a=3.560 b=3.560 c=8.103 alpha=90.00 beta=90.00 gamma=90.00
Fractional coordinates of all 4 atoms:
1 Sb 0.000 0.000 0.473
2 Sb 0.000 0.000 0.027
3 Ca 0.500 0.500 0.750
4 Zn 0.500 0.500 0.250

DFT (PBE) results for a relaxed Ca2Zn2Sb crystal.

The energy relative to the lowest polymorph listed for this composition is 242 meV/atom. As for the space group: I4/mmm, No. 139. For the uncorrected formation energy, the calculation gives -0.20 eV per atom.

Unit cell a=5.860 b=5.860 c=5.769 alpha=59.48 beta=59.48 gamma=90.00
Fractional coordinates of all 5 atoms:
1 Sb 0.000 0.000 0.000
2 Zn 0.353 0.353 0.294
3 Zn 0.647 0.647 0.706
4 Ca 0.250 0.750 0.500
5 Ca 0.750 0.250 0.500

DFT (PBE) results for a relaxed Ca3ZnSb2 crystal.

As for the space group: Pnma, No. 62. For the uncorrected formation energy, the calculation gives -0.78 eV per atom.

Unit cell a=4.594 b=12.512 c=12.163 alpha=90.00 beta=90.00 gamma=90.00
Fractional coordinates of all 24 atoms:
1 Sb 0.750 0.994 0.689
2 Sb 0.250 0.824 0.978
3 Sb 0.750 0.324 0.522
4 Sb 0.250 0.676 0.478
5 Sb 0.750 0.176 0.022
6 Sb 0.250 0.494 0.811
7 Sb 0.250 0.006 0.311
8 Sb 0.750 0.506 0.189
9 Ca 0.250 0.118 0.558
10 Ca 0.750 0.206 0.296
11 Ca 0.750 0.559 0.631
12 Ca 0.250 0.382 0.058
13 Ca 0.750 0.941 0.131
14 Ca 0.250 0.706 0.204
15 Ca 0.750 0.882 0.442
16 Ca 0.250 0.059 0.869
17 Ca 0.750 0.618 0.942
18 Ca 0.250 0.441 0.369
19 Ca 0.250 0.794 0.704
20 Ca 0.750 0.294 0.796
21 Zn 0.750 0.824 0.839
22 Zn 0.250 0.324 0.661
23 Zn 0.750 0.676 0.339
24 Zn 0.250 0.176 0.161

no.,N(E_F) (states/eV per cell)
1,2.30
2,1.23
3,0.82
4,1.92
5,3.62
6,3.22